## Ni5Rh (GGA-PBEsol)

Data for an optimized crystal structure of Ni5Rh.

Computed properties:
Formation energy from the elements ... 0.035 eV per atom
Final energy ... -6.45 eV/atom
Spin magnetization ... 3.97 μB/cell

Cell lengths 2.5168, 3.5027, 7.4847 Å; angles 90.00, 90.00, 90.00 degrees
Positions (direct):
Ni 0.0000 0.0000 0.0000
Ni 0.0000 0.0000 0.3238
Ni 0.0000 0.0000 0.6762
Ni 0.5000 0.5000 0.1608
Ni 0.5000 0.5000 0.8392
Rh 0.5000 0.5000 0.5000

## TaTc2Os (GGA-PBEsol)

Data for an optimized crystal structure of TaTc2Os.

Computed properties:
Formation energy from the elements ... 0.146 eV per atom
Final energy ... -11.68 eV/atom
Distance to the lowest polymorph of the same formula ... 2.69 kJ/mol of atoms
Spin magnetization ... 0.00 μB/cell

Cell lengths 9.3020, 9.3020, 9.3020 Å; angles 16.98, 16.98, 16.98 degrees
Positions (direct):
Ta 0.0000 0.0000 0.0000
Tc 0.2451 0.2451 0.2451
Tc 0.7549 0.7549 0.7549
Os 0.5000 0.5000 0.5000

## Ta2AlCrSn (GGA-PBEsol)

Data for an optimized crystal structure of Ta2AlCrSn.

Computed properties:
Formation energy from the elements ... 1.190 eV per atom
Final energy ... -7.55 eV/atom
Spin magnetization ... 2.89 μB/cell

Cell lengths 4.7128, 4.7128, 4.4152 Å; angles 90.00, 90.00, 90.00 degrees
Positions (direct):
Ta 0.0000 0.5000 0.0000
Ta 0.5000 0.0000 0.0000
Al 0.0000 0.0000 0.0000
Cr 0.0000 0.0000 0.5000
Sn 0.5000 0.5000 0.5000